DFT (PBE) results for crystalline MgTiBeCu at its relaxed geometry.

The space group is F-43m (No. 216) and the conventional cell measures 6.082, 6.082 and 6.082 Å, with angles of 90.00, 90.00 and 90.00 degrees. The asymmetric unit holds Mg at (0.000, 0.000, 0.000), Ti at (0.000, 0.000, 0.500), Be at (0.250, 0.250, 0.750) and Cu at (0.250, 0.250, 0.250).

Its energy of formation from the pure elements is 14 meV/atom. For the density of states at the Fermi level, the calculation gives 6.88 states/eV/cell. The crystal system is cubic. The value obtained for the uncorrected energy is -4.31 eV per atom.



DFT (PBE) results for crystalline ThMgCdBi at its relaxed geometry.

The space group is F-43m (No. 216) and the conventional cell measures 7.624, 7.624 and 7.624 Å, with angles of 90.00, 90.00 and 90.00 degrees. The asymmetric unit holds Th at (0.000, 0.000, 0.000), Mg at (0.000, 0.000, 0.500), Cd at (0.250, 0.250, 0.250) and Bi at (0.250, 0.250, 0.750).

Its energy of formation from the pure elements is -106 meV/atom. For the density of states at the Fermi level, the calculation gives 18.01 states/eV/cell. The crystal system is cubic. The value obtained for the energy relative to the lowest polymorph listed for this composition is 0.67 eV per formula unit. The value obtained for the uncorrected energy is -3.56 eV per atom.



DFT (PBE) results for crystalline Rb2Hg3Pb6 at its relaxed geometry.

The space group is P-62m (No. 189) and the conventional cell measures 9.3831, 9.3831 and 5.1767 Å, with angles of 90.00, 90.00 and 120.00 degrees. The asymmetric unit holds Rb at (0.3333, 0.6667, 0.0000), Hg at (0.0000, 0.5883, 0.5000), Pb at (0.0000, 0.2572, 0.5000) and Pb at (0.0000, 0.7970, 0.0000).

Its energy of formation from the pure elements is -102 meV/atom. For the density of states at the Fermi level, the calculation gives 4.27 states/eV/cell. The crystal system is hexagonal. The value obtained for the uncorrected energy is -2.38 eV per atom.



DFT (PBE) results for crystalline TbPuSc2Te4 at its relaxed geometry.

The space group is P2/m (No. 10) and the conventional cell measures 7.423, 4.252 and 7.435 Å, with angles of 90.00, 109.03 and 90.00 degrees. The asymmetric unit holds Tb at (0.000, 0.000, 0.000), Pu at (0.500, 0.500, 0.000), Sc at (0.000, 0.500, 0.500), Sc at (0.500, 0.000, 0.500), Te at (0.243, 0.000, 0.732) and Te at (0.254, 0.500, 0.267).

For the density of states at the Fermi level, the calculation gives 12.73 states/eV/cell. The crystal system is monoclinic. The energy relative to the elements, uncorrected is -1163 meV per atom. The value obtained for the uncorrected energy is -6.69 eV per atom.



DFT (PBE) results for crystalline Dy3Er3Th at its relaxed geometry.

The space group is P6_3/m (No. 176) and the conventional cell measures 9.5078, 9.5078 and 5.6495 Å, with angles of 90.00, 90.00 and 120.00 degrees. The asymmetric unit holds Dy at (0.0536, 0.2416, 0.2500), Er at (0.0950, 0.4790, 0.7500) and Th at (0.3333, 0.6667, 0.2500).

Its energy of formation from the pure elements is 19 meV/atom. For the density of states at the Fermi level, the calculation gives 21.96 states/eV/cell. The crystal system is hexagonal. The value obtained for the energy relative to the lowest polymorph listed for this composition is 0.00 eV per formula unit. The value obtained for the uncorrected energy is -4.97 eV per atom.



DFT (PBE) results for crystalline PmEuInPd at its relaxed geometry.

The space group is F-43m (No. 216) and the conventional cell measures 7.519, 7.519 and 7.519 Å, with angles of 90.00, 90.00 and 90.00 degrees. The asymmetric unit holds Pm at (0.000, 0.000, 0.000), Eu at (0.000, 0.000, 0.500), In at (0.250, 0.250, 0.750) and Pd at (0.250, 0.250, 0.250).

Its energy of formation from the pure elements is -497 meV/atom. For the density of states at the Fermi level, the calculation gives 37.56 states/eV/cell. The crystal system is cubic. The value obtained for the uncorrected energy is -6.24 eV per atom.



DFT (PBE) results for crystalline CsTlCd17 at its relaxed geometry.

The space group is R3m (No. 160, hexagonal axes) and the conventional cell measures 10.5214, 10.5214 and 15.2197 Å, with angles of 90.00, 90.00 and 120.00 degrees. The asymmetric unit holds Cs at (0.0000, 0.0000, 0.0000), Tl at (0.0000, 0.0000, 0.3169), Cd at (0.0000, 0.0000, 0.5489), Cd at (0.0000, 0.0000, 0.7497), Cd at (0.0406, 0.3706, 0.3229), Cd at (0.1731, 0.3461, 0.1354), Cd at (0.1761, 0.3521, 0.4931) and Cd at (0.1777, 0.3554, 0.8419).

Its energy of formation from the pure elements is 4 meV/atom. For the density of states at the Fermi level, the calculation gives 24.63 states/eV/cell. The crystal system is trigonal. The value obtained for the uncorrected energy is -0.98 eV per atom.



DFT (PBE) results for crystalline ReTe2Ir at its relaxed geometry.

The space group is R-3m (No. 166, hexagonal axes) and the conventional cell measures 3.5320, 3.5320 and 25.3748 Å, with angles of 90.00, 90.00 and 120.00 degrees. The asymmetric unit holds Re at (0.0000, 0.0000, 0.0000), Te at (0.0000, 0.0000, 0.1003) and Ir at (0.0000, 0.0000, 0.5000).

For the density of states at the Fermi level, the calculation gives 11.74 states/eV/cell. The crystal system is trigonal. The energy relative to the elements, uncorrected is 929 meV per atom. The value obtained for the energy relative to the lowest polymorph listed for this composition is 2.83 eV per formula unit. The value obtained for the uncorrected energy is -5.97 eV per atom.